Entry 1:
The following is a SCAN calculation of a crystal of ZrRePt2 relaxed with PBEsol, from the Alexandria database.

The structure in POSCAR format:
```
ZrRePt2
1.0
-0.292 0.669 -2.684
4.755 -1.037 -0.775
-2.820 -3.983 -0.686
Pt Re Zr
2 1 1
direct
0.000 0.500 0.000 Pt
0.000 0.000 0.500 Pt
0.500 0.000 0.000 Re
0.500 0.500 0.500 Zr
```

Results
ΔE_f = -241 kJ/mol of formula units
space group = Cmmm
magnetization = 0.0 μB per cell
crystal system = orthorhombic



Entry 2:
The following is a SCAN calculation of a crystal of PtRh3 relaxed with PBEsol, from the Alexandria database.

The structure in POSCAR format:
```
PtRh3
1.0
4.669 0.000 0.000
0.000 5.386 0.000
0.000 0.000 8.820
Pt Rh
4 12
direct
0.584 0.622 0.750 Pt
0.084 0.878 0.750 Pt
0.416 0.378 0.250 Pt
0.916 0.122 0.250 Pt
0.582 0.128 0.750 Rh
0.082 0.372 0.750 Rh
0.747 0.875 0.001 Rh
0.753 0.375 0.999 Rh
0.918 0.628 0.250 Rh
0.253 0.125 0.999 Rh
0.253 0.125 0.501 Rh
0.247 0.625 0.001 Rh
0.753 0.375 0.501 Rh
0.747 0.875 0.499 Rh
0.418 0.872 0.250 Rh
0.247 0.625 0.499 Rh
```

Results
ΔE_f = 5 kJ/mol of formula units
space group = Pnma
magnetization = 0.0 μB per cell
crystal system = orthorhombic



Entry 3:
The following is a SCAN calculation of a crystal of PtRh3 relaxed with PBEsol, from the Alexandria database.

The structure in POSCAR format:
```
PtRh3
1.0
-0.246 3.002 3.237
-3.892 -2.032 1.589
2.959 -3.183 3.177
Pt Rh
2 6
direct
0.000 0.666 0.000 Pt
0.500 0.334 0.500 Pt
0.500 0.331 0.000 Rh
0.500 0.834 0.249 Rh
0.000 0.669 0.500 Rh
0.500 0.834 0.751 Rh
0.000 0.166 0.251 Rh
0.000 0.166 0.749 Rh
```

Results
ΔE_f = 17 kJ/mol of formula units
space group = Pmmn
magnetization = 0.0 μB per cell
crystal system = orthorhombic



Entry 4:
The following is a SCAN calculation of a crystal of Pt3Rh2 relaxed with PBEsol, from the Alexandria database.

The structure in POSCAR format:
```
Pt3Rh2
1.0
3.602 0.000 0.000
1.801 3.120 0.000
1.801 1.040 7.382
Pt Rh
3 2
direct
0.202 0.202 0.394 Pt
0.000 0.000 0.000 Pt
0.798 0.798 0.606 Pt
0.399 0.399 0.803 Rh
0.601 0.601 0.197 Rh
```

Results
ΔE_f = 287 kJ/mol of formula units
space group = R-3m
magnetization = 0.0 μB per cell
crystal system = trigonal



Entry 5:
The following is a SCAN calculation of a crystal of Pt3Rh relaxed with PBEsol, from the Alexandria database.

The structure in POSCAR format:
```
Pt3Rh
1.0
3.880 0.000 0.000
0.000 3.880 0.000
-1.940 -1.940 3.875
Pt Rh
3 1
direct
0.750 0.250 0.500 Pt
0.250 0.750 0.500 Pt
0.500 0.500 0.000 Pt
0.000 0.000 0.000 Rh
```

Results
ΔE_f = -3 kJ/mol of formula units
space group = I4/mmm
magnetization = 1.6 μB per cell
crystal system = tetragonal



Entry 6:
The following is a SCAN calculation of a crystal of Pt5Rh relaxed with PBEsol, from the Alexandria database.

The structure in POSCAR format:
```
Pt5Rh
1.0
4.628 0.000 0.000
0.000 4.708 0.000
0.000 -2.354 4.077
Pt Rh
5 1
direct
0.500 0.333 0.667 Pt
0.000 0.000 0.669 Pt
0.500 0.667 0.333 Pt
0.000 0.331 0.331 Pt
0.000 0.669 0.000 Pt
0.500 0.000 0.000 Rh
```

Results
ΔE_f = 53 kJ/mol of formula units
space group = P-62m
magnetization = 0.0 μB per cell
crystal system = hexagonal



Entry 7:
The following is a SCAN calculation of a crystal of PtRh3 relaxed with PBEsol, from the Alexandria database.

The structure in POSCAR format:
```
PtRh3
1.0
-1.942 -1.572 1.019
2.470 -0.722 3.592
-1.921 3.713 2.067
Rh Pt
3 1
direct
0.500 0.500 0.831 Rh
0.500 0.000 0.500 Rh
0.000 0.500 0.336 Rh
0.000 0.000 0.000 Pt
```

Results
ΔE_f = 22 kJ/mol of formula units
space group = Pmm2
magnetization = 0.0 μB per cell
crystal system = orthorhombic



Entry 8:
The following is a SCAN calculation of a crystal of PtRh3 relaxed with PBEsol, from the Alexandria database.

The structure in POSCAR format:
```
PtRh3
1.0
2.698 0.000 0.000
0.000 4.668 0.000
-1.349 -2.334 4.414
Rh Pt
3 1
direct
0.752 0.085 0.503 Rh
0.500 0.500 0.000 Rh
0.248 0.582 0.497 Rh
0.000 0.000 0.000 Pt
```

Results
ΔE_f = 22 kJ/mol of formula units
space group = Imm2
magnetization = 0.0 μB per cell
crystal system = orthorhombic



Entry 9:
The following is a SCAN calculation of a crystal of Pt5Rh relaxed with PBEsol, from the Alexandria database.

The structure in POSCAR format:
```
Pt5Rh
1.0
2.716 0.000 0.000
0.000 4.628 0.000
-1.358 0.000 7.067
Pt Rh
5 1
direct
0.446 0.500 0.892 Pt
0.666 0.000 0.331 Pt
0.001 0.000 0.002 Pt
0.776 0.500 0.552 Pt
0.333 0.000 0.667 Pt
0.112 0.500 0.223 Rh
```

Results
ΔE_f = 55 kJ/mol of formula units
space group = Amm2
magnetization = 0.0 μB per cell
crystal system = orthorhombic



Entry 10:
The following is a SCAN calculation of a crystal of PtRh3 relaxed with PBEsol, from the Alexandria database.

The structure in POSCAR format:
```
PtRh3
1.0
3.807 0.000 0.000
0.000 3.807 0.000
-1.903 -1.903 3.815
Rh Pt
3 1
direct
0.750 0.250 0.500 Rh
0.500 0.500 0.000 Rh
0.250 0.750 0.500 Rh
0.000 0.000 0.000 Pt
```

Results
ΔE_f = -14 kJ/mol of formula units
space group = I4/mmm
magnetization = 0.0 μB per cell
crystal system = tetragonal



Entry 11:
The following is a SCAN calculation of a crystal of PtRh5 relaxed with PBEsol, from the Alexandria database.

The structure in POSCAR format:
```
PtRh5
1.0
2.692 0.000 0.000
-1.346 4.977 -0.005
0.000 -1.685 6.167
Rh Pt
5 1
direct
0.668 0.336 0.338 Rh
0.724 0.448 0.943 Rh
0.056 0.112 0.609 Rh
0.331 0.663 0.663 Rh
0.387 0.773 0.281 Rh
0.001 0.001 0.000 Pt
```

Results
ΔE_f = 32 kJ/mol of formula units
space group = Cm
magnetization = 0.0 μB per cell
crystal system = monoclinic



Entry 12:
The following is a SCAN calculation of a crystal of Pt3Rh relaxed with PBEsol, from the Alexandria database.

The structure in POSCAR format:
```
Pt3Rh
1.0
-1.310 2.248 -0.878
-1.354 -0.045 -2.388
-8.297 -1.923 3.163
Rh Pt
1 3
direct
0.000 0.000 0.000 Rh
0.500 0.500 0.500 Pt
0.748 0.748 0.756 Pt
0.252 0.252 0.244 Pt
```

Results
ΔE_f = 5 kJ/mol of formula units
space group = R-3m
magnetization = 1.6 μB per cell
crystal system = trigonal